Entry from OQMD via LeMat-Bulk: an optimized crystal structure of TaBeCuNi (PBE).

- ΔE to the lowest computed polymorph: 1 meV/atom
- Symmetry: F-43m (216)

a = 4.126 Å, b = 4.126 Å, c = 4.126 Å
α = 60.00°, β = 60.00°, γ = 60.00°
Fractional coordinates of all 4 atoms:
Cu 0.000 0.000 0.000
Ta 0.250 0.250 0.250
Be 0.750 0.750 0.750
Ni 0.500 0.500 0.500



Entry from OQMD via LeMat-Bulk: an optimized crystal structure of Pr3Cd3Ag2Pd (PBE).

- ΔH_f (0 K): -0.42 eV/atom
- Symmetry: P-62m (189)

a = 7.976 Å, b = 7.976 Å, c = 4.056 Å
α = 90.00°, β = 90.00°, γ = 120.00°
Fractional coordinates of all 9 atoms:
Cd 0.000 0.253 0.500
Cd 0.747 0.747 0.500
Cd 0.253 0.000 0.500
Pd 0.000 0.000 0.000
Pr 0.396 0.396 0.000
Pr 0.000 0.604 0.000
Pr 0.604 0.000 0.000
Ag 0.667 0.333 0.500
Ag 0.333 0.667 0.500